1.
Below is Ho4BeSe3 after structural relaxation, with properties calculated at the GGA-PBE level.

a = 3.9406 Å, b = 7.0748 Å, c = 7.0748 Å
α = 108.27°, β = 90.00°, γ = 90.00°
With the nearest neighbours (Å) after each atom.
Positions (direct):
Be  0.5000  0.0000  0.0000  6 Ho 2.74-2.77
Se  0.0000  0.5000  0.0000  6 Ho 2.86-2.87
Se  0.5000  0.5000  0.5000  6 Ho 2.96-3.00
Se  0.0000  0.0000  0.5000  6 Ho 2.86-2.87
Ho  0.5000  0.7613  0.2387  1 Be 2.74, 5 Se 2.86-3.00
Ho  0.0000  0.7659  0.7659  2 Be 2.77, 4 Se 2.87-2.96
Ho  0.5000  0.2387  0.7613  1 Be 2.74, 5 Se 2.86-3.00
Ho  0.0000  0.2341  0.2341  2 Be 2.77, 4 Se 2.87-2.96

Computed properties:
DOS at the Fermi energy: 2.92 states/eV/cell
Formation energy without anion corrections: -1307.1 meV/atom
Total moment: 0.00 μB/f.u.
Energy: -42.9 eV per cell


2.
Below is Ho6BeSe5 after structural relaxation, with properties calculated at the GGA-PBE level.

a = 7.0145 Å, b = 7.0523 Å, c = 7.0326 Å
α = 59.91°, β = 80.37°, γ = 70.50°
With the nearest neighbours (Å) after each atom.
Positions (direct):
Se  0.0000  0.6651  0.6698  6 Ho 2.88-2.89
Se  0.5000  0.8252  0.3496  6 Ho 2.88-2.98
Se  0.0000  0.3349  0.3302  6 Ho 2.88-2.89
Se  0.5000  0.1748  0.6504  6 Ho 2.88-2.98
Se  0.5000  0.5000  0.0000  6 Ho 2.87-3.04
Ho  0.7612  0.7683  0.0000  1 Be 2.70, 4 Se 2.88-2.92
Ho  0.7647  0.3902  0.6877  1 Be 2.69, 5 Se 2.87-2.98
Ho  0.2353  0.6098  0.3123  1 Be 2.69, 5 Se 2.87-2.98
Ho  0.2388  0.2317  0.0000  1 Be 2.70, 4 Se 2.88-2.92
Ho  0.7647  0.0779  0.3123  1 Be 2.69, 5 Se 2.87-2.98
Ho  0.2353  0.9221  0.6877  1 Be 2.69, 5 Se 2.87-2.98
Be  0.0000  0.0000  0.0000  6 Ho 2.69-2.70

Computed properties:
DOS at the Fermi energy: 3.36 states/eV/cell
Formation energy without anion corrections: -1486.0 meV/atom
Total moment: 0.00 μB/f.u.
Energy: -66.4 eV per cell


3.
Below is Ho2BeSi after structural relaxation, with properties calculated at the GGA-PBE level.

a = 3.4812 Å, b = 3.4812 Å, c = 9.9652 Å
α = 79.94°, β = 79.94°, γ = 60.00°
With the nearest neighbours (Å) after each atom.
Positions (direct):
Ho  0.0983  0.0983  0.7050  3 Si 2.84, 1 Be 2.88
Ho  0.9017  0.9017  0.2950  3 Si 2.84, 1 Be 2.88
Be  0.0000  0.0000  0.0000  2 Ho 2.88
Si  0.5000  0.5000  0.5000  6 Ho 2.84

Computed properties:
DOS at the Fermi energy: 3.02 states/eV/cell
Formation energy without anion corrections: 530.6 meV/atom
Total moment: 0.00 μB/f.u.
Energy: -16.2 eV per cell


4.
Below is HoBe3Si3 after structural relaxation, with properties calculated at the GGA-PBE level.

a = 6.1119 Å, b = 6.1119 Å, c = 6.1119 Å
α = 90.00°, β = 90.00°, γ = 90.00°
With the nearest neighbours (Å) after each atom.
Positions (direct):
Be  0.0000  0.7500  0.5000  4 Si 2.16
Be  0.0000  0.2500  0.5000  4 Si 2.16
Be  0.5000  0.0000  0.7500  4 Si 2.16
Be  0.5000  0.0000  0.2500  4 Si 2.16
Be  0.2500  0.5000  0.0000  4 Si 2.16
Be  0.7500  0.5000  0.0000  4 Si 2.16
Si  0.0000  0.5000  0.2500  4 Be 2.16
Si  0.7500  0.0000  0.5000  4 Be 2.16
Si  0.5000  0.2500  0.0000  4 Be 2.16
Si  0.5000  0.7500  0.0000  4 Be 2.16
Si  0.2500  0.0000  0.5000  4 Be 2.16
Si  0.0000  0.5000  0.7500  4 Be 2.16
Ho  0.5000  0.5000  0.5000  12 Be 3.42, 12 Si 3.42
Ho  0.0000  0.0000  0.0000  12 Be 3.42, 12 Si 3.42

Computed properties:
DOS at the Fermi energy: 4.23 states/eV/cell
Formation energy without anion corrections: 248.2 meV/atom
Total moment: 0.00 μB/f.u.
Energy: -60.6 eV per cell